# 1
{
  "formula": "Pr2Nd3TmAs6",
  "functional": "GGA-PBE",
  "state": "optimized geometry",
  "sg": "C2/m, No. 12",
  "lattice_angstrom": [[9.265, -2.127, 0.000], [9.265, 2.127, 0.000], [-1.956, 0.000, 8.274]],
  "species": ["Pr", "Pr", "Nd", "Nd", "Nd", "Tm", "As", "As", "As", "As", "As", "As"],
  "fractional_positions": [[0.165, 0.165, 0.331], [0.835, 0.835, 0.669], [0.167, 0.167, 0.834], [0.500, 0.500, 0.500], [0.833, 0.833, 0.166], [0.500, 0.500, 0.000], [0.001, 0.001, 0.760], [0.334, 0.334, 0.416], [0.337, 0.337, 0.920], [0.663, 0.663, 0.080], [0.666, 0.666, 0.584], [0.999, 0.999, 0.240]]
}


# 2
{
  "formula": "SbSe",
  "functional": "GGA-PBE",
  "state": "optimized geometry",
  "sg": "Pmn2_1, No. 31",
  "formation_energy_uncorrected_ev_per_atom": -0.04,
  "lattice_angstrom": [[19.845, 0.000, 0.000], [0.000, 3.773, 0.000], [0.000, 0.000, 6.163]],
  "species": ["Sb", "Sb", "Sb", "Sb", "Sb", "Sb", "Se", "Se", "Se", "Se", "Se", "Se"],
  "fractional_positions": [[0.000, 0.040, 0.000], [0.249, 0.500, 0.090], [0.251, 0.500, 0.590], [0.500, 0.960, 0.500], [0.749, 0.500, 0.590], [0.751, 0.500, 0.090], [0.000, 0.540, 0.713], [0.153, 0.003, 0.091], [0.347, 0.997, 0.591], [0.500, 0.460, 0.213], [0.653, 0.997, 0.591], [0.847, 0.003, 0.091]]
}


# 3
{
  "formula": "CsPmCd17",
  "functional": "GGA-PBE",
  "state": "optimized geometry",
  "sg": "R3m, No. 160",
  "lattice_angstrom": [[5.165, 2.982, 5.079], [-5.165, 2.982, 5.079], [0.000, -5.964, 5.079]],
  "species": ["Cs", "Pm", "Cd", "Cd", "Cd", "Cd", "Cd", "Cd", "Cd", "Cd", "Cd", "Cd", "Cd", "Cd", "Cd", "Cd", "Cd", "Cd", "Cd"],
  "fractional_positions": [[0.000, 0.000, 0.000], [0.332, 0.332, 0.332], [0.034, 0.034, 0.478], [0.034, 0.478, 0.034], [0.148, 0.674, 0.674], [0.314, 0.314, 0.794], [0.314, 0.794, 0.314], [0.369, 0.659, 0.959], [0.369, 0.959, 0.659], [0.478, 0.034, 0.034], [0.555, 0.555, 0.555], [0.659, 0.369, 0.959], [0.659, 0.959, 0.369], [0.674, 0.148, 0.674], [0.674, 0.674, 0.148], [0.753, 0.753, 0.753], [0.794, 0.314, 0.314], [0.959, 0.369, 0.659], [0.959, 0.659, 0.369]]
}


Calculated values (g/cm3) of theoretical density for the records, taken in order: 6.79 4.33 7.74.
Calculated values (eV per atom) of calculated total energy for the records, taken in order: -6.18 -3.84 -1.19.